RbBeP2O | GGA-PBE | relaxed

a = 4.147 Å, b = 4.147 Å, c = 6.051 Å
α = 90.00°, β = 90.00°, γ = 90.00°
Space group P4/mmm (No. 123)
Asymmetric unit:
1 Rb 0.000 0.000 0.000 (multiplicity 1)
2 Be 0.500 0.500 0.500 (multiplicity 1)
3 P 0.000 0.500 0.500 (multiplicity 2)
4 O 0.500 0.500 0.000 (multiplicity 1)

Values from the calculation:
The density comes out at 2.75 Mg/m³. For the energy above the most stable polymorph in this dataset, the calculation gives 0.0 meV per atom.

RbBePO2 | GGA-PBE | relaxed

a = 4.177 Å, b = 4.177 Å, c = 6.905 Å
α = 90.00°, β = 90.00°, γ = 90.00°
Space group P4/mmm (No. 123)
Asymmetric unit:
1 Rb 0.000 0.000 0.000 (multiplicity 1)
2 Be 0.500 0.500 0.500 (multiplicity 1)
3 P 0.000 0.000 0.500 (multiplicity 1)
4 O 0.000 0.500 0.000 (multiplicity 2)

Values from the calculation:
The density comes out at 2.17 Mg/m³. For the energy above the most stable polymorph in this dataset, the calculation gives 1580.6 meV per atom.

BeP2RhO | GGA-PBE | relaxed

a = 4.682 Å, b = 4.682 Å, c = 2.881 Å
α = 90.00°, β = 90.00°, γ = 90.00°
Space group P4/mmm (No. 123)
Asymmetric unit:
1 Be 0.000 0.000 0.000 (multiplicity 1)
2 P 0.000 0.500 0.000 (multiplicity 2)
3 Rh 0.500 0.500 0.500 (multiplicity 1)
4 O 0.000 0.000 0.500 (multiplicity 1)

Values from the calculation:
The density comes out at 4.99 Mg/m³. For the energy above the most stable polymorph in this dataset, the calculation gives 0.0 meV per atom.

BeP2RhO | GGA-PBE | relaxed

a = 4.776 Å, b = 4.776 Å, c = 3.647 Å
α = 90.00°, β = 90.00°, γ = 90.00°
Space group P4/mmm (No. 123)
Asymmetric unit:
1 Be 0.000 0.000 0.000 (multiplicity 1)
2 P 0.000 0.500 0.500 (multiplicity 2)
3 Rh 0.500 0.500 0.500 (multiplicity 1)
4 O 0.500 0.500 0.000 (multiplicity 1)

Values from the calculation:
The density comes out at 3.79 Mg/m³. For the energy above the most stable polymorph in this dataset, the calculation gives 722.8 meV per atom.

BeP2RuO | GGA-PBE | relaxed

a = 4.649 Å, b = 4.649 Å, c = 2.868 Å
α = 90.00°, β = 90.00°, γ = 90.00°
Space group P4/mmm (No. 123)
Asymmetric unit:
1 Be 0.000 0.000 0.000 (multiplicity 1)
2 P 0.000 0.500 0.000 (multiplicity 2)
3 Ru 0.500 0.500 0.500 (multiplicity 1)
4 O 0.000 0.000 0.500 (multiplicity 1)

Values from the calculation:
The density comes out at 5.04 Mg/m³. For the energy above the most stable polymorph in this dataset, the calculation gives 0.0 meV per atom.

BeP2RuO | GGA-PBE | relaxed

a = 4.741 Å, b = 4.741 Å, c = 3.629 Å
α = 90.00°, β = 90.00°, γ = 90.00°
Space group P4/mmm (No. 123)
Asymmetric unit:
1 Be 0.000 0.000 0.000 (multiplicity 1)
2 P 0.000 0.500 0.500 (multiplicity 2)
3 Ru 0.500 0.500 0.500 (multiplicity 1)
4 O 0.500 0.500 0.000 (multiplicity 1)

Values from the calculation:
The density comes out at 3.83 Mg/m³. For the energy above the most stable polymorph in this dataset, the calculation gives 462.1 meV per atom.

BePS2O | GGA-PBE | relaxed

a = 4.151 Å, b = 4.151 Å, c = 4.151 Å
α = 90.00°, β = 90.00°, γ = 90.00°
Space group P4/mmm (No. 123)
Asymmetric unit:
1 Be 0.000 0.000 0.000 (multiplicity 1)
2 P 0.500 0.500 0.000 (multiplicity 1)
3 S 0.000 0.500 0.500 (multiplicity 2)
4 O 0.500 0.500 0.500 (multiplicity 1)

Values from the calculation:
The density comes out at 2.79 Mg/m³. For the energy above the most stable polymorph in this dataset, the calculation gives 50.6 meV per atom.

BePS2O | GGA-PBE | relaxed

a = 3.978 Å, b = 3.978 Å, c = 4.635 Å
α = 90.00°, β = 90.00°, γ = 90.00°
Space group P4/mmm (No. 123)
Asymmetric unit:
1 Be 0.000 0.000 0.000 (multiplicity 1)
2 P 0.000 0.000 0.500 (multiplicity 1)
3 S 0.000 0.500 0.000 (multiplicity 2)
4 O 0.500 0.500 0.500 (multiplicity 1)

Values from the calculation:
The density comes out at 2.72 Mg/m³. For the energy above the most stable polymorph in this dataset, the calculation gives 0.0 meV per atom.

ScBeP2O | GGA-PBE | relaxed

a = 5.137 Å, b = 5.137 Å, c = 3.781 Å
α = 90.00°, β = 90.00°, γ = 90.00°
Space group P4/mmm (No. 123)
Asymmetric unit:
1 Sc 0.000 0.000 0.000 (multiplicity 1)
2 Be 0.500 0.500 0.500 (multiplicity 1)
3 P 0.000 0.500 0.000 (multiplicity 2)
4 O 0.000 0.000 0.500 (multiplicity 1)

Values from the calculation:
The density comes out at 2.20 Mg/m³. For the energy above the most stable polymorph in this dataset, the calculation gives 839.8 meV per atom.

ScBeP2O | GGA-PBE | relaxed

a = 4.957 Å, b = 4.957 Å, c = 2.929 Å
α = 90.00°, β = 90.00°, γ = 90.00°
Space group P4/mmm (No. 123)
Asymmetric unit:
1 Sc 0.000 0.000 0.000 (multiplicity 1)
2 Be 0.500 0.500 0.500 (multiplicity 1)
3 P 0.000 0.500 0.500 (multiplicity 2)
4 O 0.500 0.500 0.000 (multiplicity 1)

Values from the calculation:
The density comes out at 3.04 Mg/m³. For the energy above the most stable polymorph in this dataset, the calculation gives 0.0 meV per atom.

BeSnPO2 | GGA-PBE | relaxed

a = 3.633 Å, b = 3.633 Å, c = 4.696 Å
α = 90.00°, β = 90.00°, γ = 90.00°
Space group P4/mmm (No. 123)
Asymmetric unit:
1 Be 0.000 0.000 0.000 (multiplicity 1)
2 Sn 0.500 0.500 0.500 (multiplicity 1)
3 P 0.000 0.000 0.500 (multiplicity 1)
4 O 0.000 0.500 0.000 (multiplicity 2)

Values from the calculation:
The density comes out at 5.11 Mg/m³. For the energy above the most stable polymorph in this dataset, the calculation gives 0.0 meV per atom.

BeSnPO2 | GGA-PBE | relaxed

a = 3.876 Å, b = 3.876 Å, c = 5.621 Å
α = 90.00°, β = 90.00°, γ = 90.00°
Space group P4/mmm (No. 123)
Asymmetric unit:
1 Be 0.000 0.000 0.000 (multiplicity 1)
2 Sn 0.500 0.500 0.500 (multiplicity 1)
3 P 0.500 0.500 0.000 (multiplicity 1)
4 O 0.000 0.500 0.500 (multiplicity 2)

Values from the calculation:
The density comes out at 3.75 Mg/m³. For the energy above the most stable polymorph in this dataset, the calculation gives 408.1 meV per atom.

Values of ΔE_f (raw), in order: 1.59 7.94 -0.47 3.14 0.13 2.44 4.89 4.64 0.91 -3.29 -1.73 0.31, all in eV per formula unit.